Record 1
Compound: Sc2SbRu
Source: the Alexandria database
Functional: GGA-PBE
Structure: optimized geometry

Properties
Raw formation energy in eV/atom: -0.429

Lattice parameters (Å, degrees): 4.713 4.713 4.713 60.00 60.00 60.00
Positions (direct):
Sc: 0.000 0.000 0.000
Sc: 0.250 0.250 0.250
Sb: 0.750 0.750 0.750
Ru: 0.500 0.500 0.500

Record 2
Compound: Zn2PbW
Source: the Alexandria database
Functional: GGA-PBE
Structure: optimized geometry

Properties
Formation energy in eV per atom: 0.59

Lattice parameters (Å, degrees): 3.553 3.553 5.776 90.00 90.00 90.00
Positions (direct):
Zn: 0.000 0.000 0.209
Zn: 0.000 0.000 0.791
Pb: 0.500 0.500 0.500
W: 0.500 0.500 0.000

Total moment? In order: 0.89 0.00 μB per formula unit.